Entry 1:
CsRbFe2Se4 after structural relaxation. Source: OQMD via LeMat-Bulk, functional PBE.

abc: 7.549 12.187 5.671
angles: 90.00 111.87 90.00
Positions (direct):
Cs 0.000 0.000 0.000
Cs 0.500 0.500 0.000
Rb 0.000 0.721 0.500
Rb 0.500 0.221 0.500
Fe 0.000 0.358 0.500
Fe 0.000 0.360 0.000
Fe 0.500 0.858 0.500
Fe 0.500 0.860 0.000
Se 0.182 0.469 0.341
Se 0.188 0.251 0.843
Se 0.312 0.751 0.157
Se 0.318 0.969 0.659
Se 0.682 0.969 0.341
Se 0.688 0.751 0.843
Se 0.812 0.251 0.157
Se 0.818 0.469 0.659

Summary:
SG: C2, No. 5
Total magnetic moment (μB per formula unit): 5.8



Entry 2:
Si13Os4 after structural relaxation. Source: OQMD via LeMat-Bulk, functional PBE.

abc: 9.105 9.105 7.269
angles: 107.90 107.90 25.86
Positions (direct):
Si 0.000 0.000 0.000
Si 0.091 0.091 0.835
Si 0.098 0.098 0.367
Si 0.231 0.231 0.377
Si 0.296 0.296 0.085
Si 0.358 0.358 0.850
Si 0.418 0.418 0.408
Si 0.582 0.582 0.592
Si 0.642 0.642 0.150
Si 0.704 0.704 0.915
Si 0.769 0.769 0.623
Si 0.902 0.902 0.633
Si 0.909 0.909 0.165
Os 0.206 0.206 0.713
Os 0.477 0.477 0.759
Os 0.523 0.523 0.241
Os 0.794 0.794 0.287

Summary:
SG: C2/m, No. 12
Total magnetic moment (μB per formula unit): 0.0



Entry 3:
LuCo2Cu after structural relaxation. Source: OQMD via LeMat-Bulk, functional PBE.

abc: 6.266 6.266 6.266
angles: 90.00 90.00 90.00
Positions (direct):
Lu 0.000 0.000 0.000
Lu 0.000 0.500 0.500
Lu 0.500 0.000 0.500
Lu 0.500 0.500 0.000
Co 0.000 0.000 0.500
Co 0.000 0.500 0.000
Co 0.250 0.250 0.250
Co 0.250 0.750 0.750
Co 0.500 0.000 0.000
Co 0.500 0.500 0.500
Co 0.750 0.250 0.750
Co 0.750 0.750 0.250
Cu 0.250 0.250 0.750
Cu 0.250 0.750 0.250
Cu 0.750 0.250 0.250
Cu 0.750 0.750 0.750

Summary:
SG: F-43m, No. 216
DFT formation energy (meV per atom): 74
Total magnetic moment (μB per formula unit): 2.7
Excess energy over the best structure of this formula in the dataset (meV per atom): 10



Entry 4:
ErAgPbSe2S after structural relaxation. Source: OQMD via LeMat-Bulk, functional PBE.

abc: 7.132 7.132 10.344
angles: 90.00 90.00 146.34
Positions (direct):
Er 0.000 0.000 0.000
Er 0.000 0.000 0.500
Ag 0.471 0.529 0.750
Ag 0.529 0.471 0.250
Pb 0.256 0.744 0.250
Pb 0.744 0.256 0.750
Se 0.356 0.644 0.548
Se 0.356 0.644 0.952
Se 0.644 0.356 0.048
Se 0.644 0.356 0.452
S 0.082 0.918 0.750
S 0.918 0.082 0.250

Summary:
SG: Cmcm, No. 63
Total magnetic moment (μB per formula unit): 0.0



Entry 5:
Er4SiPd3 after structural relaxation. Source: OQMD via LeMat-Bulk, functional PBE.

abc: 5.539 4.360 7.159
angles: 90.00 90.11 90.00
Positions (direct):
Er 0.000 0.000 0.000
Er 0.226 0.000 0.503
Er 0.495 0.500 0.141
Er 0.722 0.500 0.635
Si 0.002 0.500 0.280
Pd 0.211 0.500 0.774
Pd 0.517 0.000 0.860
Pd 0.727 0.000 0.353

Summary:
SG: Pm, No. 6
Total magnetic moment (μB per formula unit): 0.0



Entry 6:
HoErPd after structural relaxation. Source: OQMD via LeMat-Bulk, functional PBE.

abc: 7.028 4.838 8.684
angles: 90.00 90.00 90.00
Positions (direct):
Ho 0.145 0.250 0.080
Ho 0.355 0.750 0.580
Ho 0.645 0.250 0.420
Ho 0.855 0.750 0.920
Er 0.016 0.250 0.672
Er 0.484 0.750 0.172
Er 0.516 0.250 0.828
Er 0.984 0.750 0.328
Pd 0.240 0.250 0.405
Pd 0.260 0.750 0.905
Pd 0.740 0.250 0.095
Pd 0.760 0.750 0.595

Summary:
SG: Pnma, No. 62
DFT formation energy (meV per atom): -648
Total magnetic moment (μB per formula unit): 0.0
Excess energy over the best structure of this formula in the dataset (meV per atom): 4



Entry 7:
Li4InGaCu2 after structural relaxation. Source: OQMD via LeMat-Bulk, functional PBE.

abc: 4.302 4.302 6.213
angles: 90.00 90.00 90.00
Positions (direct):
Li 0.000 0.000 0.000
Li 0.000 0.500 0.730
Li 0.500 0.000 0.270
Li 0.500 0.500 0.500
In 0.500 0.500 0.000
Ga 0.000 0.000 0.500
Cu 0.000 0.500 0.271
Cu 0.500 0.000 0.729

Summary:
SG: P-4m2, No. 115



Entry 8:
SrAl3Ag2 after structural relaxation. Source: OQMD via LeMat-Bulk, functional PBE.

abc: 5.652 5.652 4.426
angles: 90.00 90.00 120.00
Positions (direct):
Sr 0.000 0.000 0.000
Al 0.000 0.500 0.500
Al 0.500 0.000 0.500
Al 0.500 0.500 0.500
Ag 0.333 0.667 0.000
Ag 0.667 0.333 0.000

Summary:
SG: P6/mmm, No. 191



Entry 9:
BaUNi after structural relaxation. Source: OQMD via LeMat-Bulk, functional PBE.

abc: 6.973 6.973 6.973
angles: 90.00 90.00 90.00
Positions (direct):
Ba 0.000 0.000 0.000
Ba 0.000 0.500 0.500
Ba 0.500 0.000 0.500
Ba 0.500 0.500 0.000
U 0.000 0.000 0.500
U 0.000 0.500 0.000
U 0.500 0.000 0.000
U 0.500 0.500 0.500
Ni 0.250 0.250 0.750
Ni 0.250 0.750 0.250
Ni 0.750 0.250 0.250
Ni 0.750 0.750 0.750

Summary:
SG: F-43m, No. 216
Total magnetic moment (μB per formula unit): 3.4
Excess energy over the best structure of this formula in the dataset (meV per atom): 0



Entry 10:
SrFeB4 after structural relaxation. Source: OQMD via LeMat-Bulk, functional PBE.

abc: 3.026 5.514 7.876
angles: 90.00 90.00 90.00
Positions (direct):
Sr 0.000 0.000 0.000
Sr 0.500 0.500 0.500
Fe 0.000 0.000 0.500
Fe 0.500 0.500 0.000
B 0.000 0.343 0.239
B 0.000 0.343 0.761
B 0.000 0.657 0.239
B 0.000 0.657 0.761
B 0.500 0.157 0.261
B 0.500 0.157 0.739
B 0.500 0.843 0.261
B 0.500 0.843 0.739

Summary:
SG: Immm, No. 71
Total magnetic moment (μB per formula unit): 2.4
Excess energy over the best structure of this formula in the dataset (meV per atom): 286



Entry 11:
Tb2TmAl3CuNi2 after structural relaxation. Source: OQMD via LeMat-Bulk, functional PBE.

abc: 3.954 6.952 6.952
angles: 120.08 90.00 90.00
Positions (direct):
Tb 0.000 0.210 0.790
Tb 0.000 0.790 0.210
Tm 0.000 0.630 0.630
Al 0.500 0.213 0.450
Al 0.500 0.450 0.213
Al 0.500 0.971 0.971
Cu 0.000 0.213 0.213
Ni 0.500 0.546 0.874
Ni 0.500 0.874 0.546

Summary:
SG: Amm2, No. 38
Total magnetic moment (μB per formula unit): 0.0



Entry 12:
CuBiPdSe3 after structural relaxation. Source: OQMD via LeMat-Bulk, functional PBE.

abc: 5.147 8.152 13.491
angles: 90.00 90.00 90.00
Positions (direct):
Cu 0.030 0.112 0.440
Cu 0.470 0.888 0.940
Cu 0.530 0.388 0.560
Cu 0.970 0.612 0.060
Bi 0.097 0.120 0.134
Bi 0.403 0.880 0.634
Bi 0.597 0.380 0.866
Bi 0.903 0.620 0.366
Pd 0.007 0.636 0.750
Pd 0.493 0.364 0.250
Pd 0.507 0.864 0.250
Pd 0.993 0.136 0.750
Se 0.233 0.136 0.912
Se 0.237 0.635 0.913
Se 0.245 0.384 0.703
Se 0.255 0.616 0.203
Se 0.263 0.365 0.413
Se 0.267 0.864 0.412
Se 0.733 0.364 0.088
Se 0.737 0.865 0.087
Se 0.745 0.116 0.297
Se 0.755 0.884 0.797
Se 0.763 0.135 0.587
Se 0.767 0.636 0.588

Summary:
SG: P2_12_12_1, No. 19



no.,calculated total energy (eV/atom)
1,-4.722
2,-6.757
3,-5.540
4,-4.678
5,-5.785
6,-5.420
7,-2.839
8,-3.379
9,-5.387
10,-5.811
11,-4.975
12,-4.220